KP3Au3 | Alexandria | PBE | relaxed; crystal system = orthorhombic; energy of formation = -0.0315 eV per atom; SG = Pmmn, No. 59; raw total energy = -3.911 eV/atom
1.0
4.212 0.000 0.000
0.000 6.738 0.000
0.000 0.000 11.639
P K Au
6 2 6
direct
0.250 0.250 0.434
0.750 0.750 0.566
0.250 0.579 0.797
0.250 0.921 0.797
0.750 0.079 0.203
0.750 0.421 0.203
0.250 0.750 0.090
0.750 0.250 0.910
0.250 0.250 0.160
0.750 0.750 0.840
0.250 0.466 0.600
0.250 0.034 0.600
0.750 0.966 0.400
0.750 0.534 0.400



RbCoOs | Alexandria | PBE | relaxed; crystal system = monoclinic; energy of formation = 0.6780 eV per atom; SG = P2_1/m, No. 11; distance to the lowest polymorph of the same formula = 25 meV/atom; raw total energy = -5.756 eV/atom
1.0
-3.724 -1.620 -0.119
0.398 -0.610 -4.149
3.802 -9.154 5.573
Os Co Rb
2 2 2
direct
0.221 0.416 0.289
0.721 0.026 0.295
0.221 0.799 0.190
0.721 0.643 0.394
0.220 0.279 0.582
0.721 0.163 0.002



Nd2Al9Ir3 | Alexandria | PBE | relaxed; crystal system = monoclinic; energy of formation = -0.8439 eV per atom; SG = C2/c, No. 15; distance to the lowest polymorph of the same formula = 3 meV/atom; raw total energy = -5.830 eV/atom
1.0
7.048 -0.035 -2.951
-4.151 6.415 -0.010
0.318 0.230 10.576
Nd Al Ir
4 18 6
direct
0.336 0.248 0.750
0.664 0.752 0.250
0.998 0.586 0.750
0.002 0.414 0.250
0.462 0.920 0.748
0.538 0.080 0.252
0.672 0.714 0.752
0.328 0.286 0.248
0.453 0.644 0.928
0.547 0.356 0.072
0.217 0.525 0.572
0.783 0.475 0.428
0.878 0.128 0.750
0.122 0.872 0.250
0.133 0.985 0.950
0.867 0.015 0.050
0.535 0.183 0.550
0.465 0.817 0.450
0.877 0.858 0.570
0.123 0.142 0.430
0.788 0.307 0.930
0.212 0.693 0.070
0.500 0.000 0.000
0.500 0.500 0.500
0.841 0.171 0.499
0.159 0.829 0.501
0.172 0.342 0.001
0.828 0.658 0.999



La3PdW | Alexandria | PBE | relaxed; crystal system = cubic; energy of formation = 0.4199 eV per atom; SG = Pm-3m, No. 221; distance to the lowest polymorph of the same formula = 0 meV/atom; raw total energy = -6.166 eV/atom
1.0
5.487 0.000 0.000
0.000 5.487 0.000
0.000 0.000 5.487
Pd W La
1 1 3
direct
0.500 0.500 0.500
0.000 0.000 0.000
0.000 0.500 0.000
0.000 0.000 0.500
0.500 0.000 0.000



TmScRe | Alexandria | PBE | relaxed; crystal system = tetragonal; energy of formation = 0.0037 eV per atom; SG = I4mm, No. 107; distance to the lowest polymorph of the same formula = 0 meV/atom; raw total energy = -7.747 eV/atom
1.0
-2.824 1.694 0.628
-1.574 -1.737 -2.397
0.640 -4.050 4.858
Sc Re Tm
1 1 1
direct
0.297 0.297 0.594
0.673 0.673 0.346
0.030 0.030 0.060



RbSbIrRu2 | Alexandria | PBE | relaxed; crystal system = tetragonal; SG = P4/mmm, No. 123; raw total energy = -5.264 eV/atom
1.0
4.926 0.000 0.000
0.000 5.140 0.000
0.000 0.000 4.926
Sb Ir Rb Ru
1 1 1 2
direct
0.000 0.500 0.000
0.000 0.000 0.000
0.500 0.500 0.500
0.000 0.000 0.500
0.500 0.000 0.000



TaAg3Br | Alexandria | PBE | relaxed; crystal system = cubic; SG = Pm-3m, No. 221; raw total energy = -3.032 eV/atom
1.0
5.274 0.000 0.000
0.000 5.274 0.000
0.000 0.000 5.274
Br Ag Ta
1 3 1
direct
0.500 0.500 0.500
0.000 0.500 0.000
0.000 0.000 0.500
0.500 0.000 0.000
0.000 0.000 0.000



DyZnCd4 | Alexandria | PBE | relaxed; crystal system = monoclinic; energy of formation = -0.0894 eV per atom; SG = C2/m, No. 12; raw total energy = -1.679 eV/atom
1.0
-4.268 -0.303 -2.732
-3.468 -2.424 5.685
2.073 8.604 0.516
Dy Zn Cd
2 2 8
direct
0.203 0.201 0.402
0.797 0.799 0.598
0.731 0.496 0.992
0.269 0.504 0.008
0.831 0.327 0.654
0.629 0.356 0.253
0.000 0.184 0.000
0.371 0.103 0.747
0.169 0.673 0.346
0.371 0.644 0.747
0.000 0.816 0.000
0.629 0.897 0.253



RbHfIr3 | Alexandria | PBE | relaxed; crystal system = cubic; energy of formation = 1.2110 eV per atom; SG = Pm-3m, No. 221; distance to the lowest polymorph of the same formula = 0 meV/atom; raw total energy = -6.290 eV/atom
1.0
-1.869 -4.400 -1.475
3.676 -2.374 2.425
-2.832 -0.178 4.120
Ir Hf Rb
3 1 1
direct
0.000 0.500 0.000
0.000 0.000 0.500
0.500 0.000 0.000
0.000 0.000 0.000
0.500 0.500 0.500



NpNi4Pt2 | Alexandria | PBE | relaxed; crystal system = tetragonal; energy of formation = 0.4692 eV per atom; SG = I4/mmm, No. 139; raw total energy = -6.409 eV/atom
1.0
5.677 -0.568 0.000
-2.811 4.965 0.000
-1.433 -2.198 5.066
Np Ni Pt
1 4 2
direct
0.000 0.000 0.000
0.716 0.500 0.216
0.500 0.716 0.216
0.500 0.284 0.784
0.284 0.500 0.784
0.250 0.750 0.500
0.750 0.250 0.500



La5Pm2HoSc | Alexandria | PBE | relaxed; crystal system = tetragonal; energy of formation = 0.2787 eV per atom; SG = I4/mcm, No. 140; raw total energy = -4.727 eV/atom
1.0
8.458 0.000 0.000
0.000 8.458 0.000
-4.229 -4.229 8.842
La Pm Ho Sc
10 4 2 2
direct
0.924 0.424 0.290
0.635 0.135 0.710
0.076 0.576 0.710
0.135 0.076 0.710
0.576 0.635 0.710
0.865 0.924 0.290
0.424 0.365 0.290
0.365 0.865 0.290
0.500 0.500 0.000
0.000 0.000 0.000
0.127 0.373 0.000
0.627 0.127 0.000
0.373 0.873 0.000
0.873 0.627 0.000
0.250 0.250 0.500
0.750 0.750 0.500
0.250 0.750 0.500
0.750 0.250 0.500



LiCdSb2 | Alexandria | PBE | relaxed; crystal system = tetragonal; SG = I-42d, No. 122; raw total energy = -2.878 eV/atom
1.0
4.900 0.000 0.000
0.000 4.900 0.000
2.450 2.450 8.985
Sb Li Cd
4 2 2
direct
0.593 0.125 0.250
0.157 0.625 0.250
0.375 0.407 0.750
0.875 0.843 0.750
0.500 0.500 0.000
0.250 0.750 0.500
0.000 0.000 0.000
0.750 0.250 0.500



KScIr2 | Alexandria | PBE | relaxed; crystal system = trigonal; energy of formation = 0.0633 eV per atom; SG = R-3m, No. 166; distance to the lowest polymorph of the same formula = 95 meV/atom; raw total energy = -6.224 eV/atom
1.0
9.617 -0.025 -0.014
9.136 3.005 -0.014
9.136 1.452 2.631
Ir K Sc
2 1 1
direct
0.013 0.013 0.013
0.487 0.487 0.487
0.250 0.250 0.250
0.750 0.750 0.750



BeCd2Si | Alexandria | PBE | relaxed; crystal system = monoclinic; SG = C2/m, No. 12; distance to the lowest polymorph of the same formula = 211 meV/atom; raw total energy = -2.250 eV/atom
1.0
5.394 0.152 0.140
4.639 2.757 0.140
1.548 0.449 5.130
Be Si Cd
1 1 2
direct
0.250 0.250 0.250
0.750 0.750 0.750
0.969 0.969 0.021
0.531 0.531 0.479